(1)
LaGe3Te: relaxed, PBE.

```
LaGe3Te
1.0
5.328 0.000 0.000
0.000 5.328 0.000
0.000 0.000 5.328
Ge Te La
3 1 1
direct
0.000 0.500 0.000 Ge
0.000 0.000 0.500 Ge
0.500 0.000 0.000 Ge
0.000 0.000 0.000 Te
0.500 0.500 0.500 La
```

Summary:
Formation energy from raw total energies (eV/atom): 0.408
Magnetic moment (μB per cell): 0.000
Symmetry: Pm-3m (221)
Crystal system: cubic
ΔE to the lowest computed polymorph (eV/atom): 0.000

***

(2)
La3Ge5Te12: relaxed, PBE.

```
La3Ge5Te12
1.0
15.271 0.000 0.000
-5.090 14.398 0.000
-5.090 -7.199 12.469
La Ge Te
12 20 48
direct
0.750 0.375 0.125 La
0.875 0.750 0.125 La
0.375 0.750 0.625 La
0.250 0.125 0.375 La
0.875 0.125 0.250 La
0.375 0.625 0.250 La
0.625 0.375 0.750 La
0.125 0.875 0.750 La
0.750 0.875 0.625 La
0.625 0.250 0.375 La
0.125 0.250 0.875 La
0.250 0.625 0.875 La
0.125 0.375 0.250 Ge
0.000 0.500 0.000 Ge
0.000 0.000 0.000 Ge
0.375 0.250 0.125 Ge
0.500 0.000 0.500 Ge
0.500 0.500 0.000 Ge
0.125 0.750 0.375 Ge
0.750 0.125 0.875 Ge
0.750 0.625 0.375 Ge
0.375 0.125 0.750 Ge
0.625 0.875 0.250 Ge
0.500 0.500 0.500 Ge
0.500 0.000 0.000 Ge
0.000 0.000 0.500 Ge
0.250 0.375 0.625 Ge
0.250 0.875 0.125 Ge
0.000 0.500 0.500 Ge
0.875 0.250 0.625 Ge
0.625 0.750 0.875 Ge
0.875 0.625 0.750 Ge
0.713 0.126 0.036 Te
0.323 0.536 0.410 Te
0.964 0.374 0.287 Te
0.536 0.213 0.126 Te
0.587 0.713 0.677 Te
0.964 0.590 0.177 Te
0.323 0.787 0.413 Te
0.090 0.913 0.126 Te
0.590 0.964 0.677 Te
0.713 0.587 0.177 Te
0.787 0.464 0.374 Te
0.823 0.910 0.036 Te
0.126 0.713 0.536 Te
0.374 0.410 0.087 Te
0.087 0.910 0.374 Te
0.413 0.126 0.590 Te
0.087 0.177 0.213 Te
0.464 0.677 0.090 Te
0.823 0.913 0.287 Te
0.126 0.413 0.090 Te
0.374 0.964 0.787 Te
0.590 0.626 0.413 Te
0.910 0.823 0.536 Te
0.787 0.323 0.913 Te
0.410 0.374 0.587 Te
0.090 0.177 0.464 Te
0.213 0.677 0.087 Te
0.177 0.087 0.713 Te
0.626 0.036 0.213 Te
0.874 0.587 0.910 Te
0.536 0.323 0.910 Te
0.587 0.874 0.410 Te
0.913 0.823 0.787 Te
0.913 0.090 0.626 Te
0.874 0.287 0.464 Te
0.177 0.090 0.964 Te
0.626 0.590 0.913 Te
0.410 0.036 0.323 Te
0.287 0.413 0.823 Te
0.213 0.536 0.626 Te
0.910 0.087 0.874 Te
0.677 0.213 0.587 Te
0.464 0.787 0.874 Te
0.036 0.410 0.823 Te
0.413 0.287 0.323 Te
0.036 0.626 0.713 Te
0.677 0.464 0.590 Te
0.287 0.874 0.964 Te
```

Summary:
Formation energy from raw total energies (eV/atom): -0.589
Magnetic moment (μB per cell): 0.000
Symmetry: Ia-3d (230)
Crystal system: cubic

***

(3)
La6GeTe5: relaxed, PBE.

```
La6GeTe5
1.0
7.823 0.183 1.184
1.915 6.632 3.865
0.130 0.077 7.899
Ge Te La
1 5 6
direct
0.000 0.000 0.000 Ge
0.500 0.173 0.654 Te
0.000 0.335 0.331 Te
0.500 0.500 0.000 Te
0.000 0.665 0.669 Te
0.500 0.827 0.346 Te
0.763 0.078 0.316 La
0.237 0.606 0.316 La
0.241 0.234 0.000 La
0.759 0.766 0.000 La
0.763 0.394 0.684 La
0.237 0.922 0.684 La
```

Summary:
Formation energy from raw total energies (eV/atom): -1.523
Magnetic moment (μB per cell): 0.000
Symmetry: C2/m (12)
Crystal system: monoclinic

***

(4)
La2Ge2Te: relaxed, PBE.

```
La2Ge2Te
1.0
8.201 0.000 0.000
0.000 8.201 0.000
0.000 0.000 4.143
Ge Te La
4 2 4
direct
0.396 0.896 0.000 Ge
0.896 0.604 0.000 Ge
0.604 0.104 0.000 Ge
0.104 0.396 0.000 Ge
0.000 0.000 0.000 Te
0.500 0.500 0.000 Te
0.190 0.690 0.500 La
0.690 0.810 0.500 La
0.810 0.310 0.500 La
0.310 0.190 0.500 La
```

Summary:
Formation energy from raw total energies (eV/atom): -0.884
Magnetic moment (μB per cell): 0.000
Symmetry: P4/mbm (127)
Crystal system: tetragonal
ΔE to the lowest computed polymorph (eV/atom): 0.216